Record 1
A geometry-optimized Ac3Rh structure. Source: Alexandria via LeMat-Bulk, functional PBE-GGA.

Theoretical density = 8.38 g/cm³
ΔE to the lowest computed polymorph = 0.000 eV per atom
ΔH_f (0 K) = -0.36 eV/atom
Final energy = -21.130 eV per cell

```
data_Ac3Rh
_symmetry_space_group_name_H-M 'P 1'
_symmetry_Int_Tables_number 1
_symmetry_space_group_name_Hall 'P 1'
_cell_length_a 9.001
_cell_length_b 9.001
_cell_length_c 9.001
_cell_angle_alpha 152.48
_cell_angle_beta 152.48
_cell_angle_gamma 39.31
loop_
_atom_site_label
_atom_site_type_symbol
_atom_site_fract_x
_atom_site_fract_y
_atom_site_fract_z
Ac1 Ac 0.000 0.000 0.000
Ac2 Ac 0.327 0.327 0.000
Ac3 Ac 0.673 0.673 0.000
Rh1 Rh 0.500 0.500 0.000
```

Record 2
A geometry-optimized Ac4Rh structure. Source: Alexandria via LeMat-Bulk, functional PBE-GGA.

Theoretical density = 8.20 g/cm³
ΔE to the lowest computed polymorph = 0.000 eV per atom
ΔH_f (0 K) = -0.29 eV/atom
Final energy = -50.452 eV per cell

```
data_Ac4Rh
_symmetry_space_group_name_H-M 'P 1'
_symmetry_Int_Tables_number 1
_symmetry_space_group_name_Hall 'P 1'
_cell_length_a 8.291
_cell_length_b 8.291
_cell_length_c 6.852
_cell_angle_alpha 90.00
_cell_angle_beta 90.00
_cell_angle_gamma 119.67
loop_
_atom_site_label
_atom_site_type_symbol
_atom_site_fract_x
_atom_site_fract_y
_atom_site_fract_z
Ac1 Ac 0.163 0.337 0.750
Ac2 Ac 0.170 0.830 0.755
Ac3 Ac 0.330 0.670 0.255
Ac4 Ac 0.337 0.163 0.250
Ac5 Ac 0.663 0.837 0.750
Ac6 Ac 0.670 0.330 0.745
Ac7 Ac 0.830 0.170 0.245
Ac8 Ac 0.837 0.663 0.250
Rh1 Rh 0.000 0.000 0.000
Rh2 Rh 0.500 0.500 0.500
```

Record 3
A geometry-optimized Ac3Rh2 structure. Source: Alexandria via LeMat-Bulk, functional PBE-GGA.

Theoretical density = 8.93 g/cm³
ΔE to the lowest computed polymorph = 0.000 eV per atom
ΔH_f (0 K) = -0.62 eV/atom
Final energy = -60.264 eV per cell

```
data_Ac3Rh2
_symmetry_space_group_name_H-M 'P 1'
_symmetry_Int_Tables_number 1
_symmetry_space_group_name_Hall 'P 1'
_cell_length_a 8.104
_cell_length_b 8.104
_cell_length_c 8.104
_cell_angle_alpha 54.71
_cell_angle_beta 54.71
_cell_angle_gamma 54.71
loop_
_atom_site_label
_atom_site_type_symbol
_atom_site_fract_x
_atom_site_fract_y
_atom_site_fract_z
Ac1 Ac 0.082 0.750 0.418
Ac2 Ac 0.250 0.582 0.918
Ac3 Ac 0.418 0.082 0.750
Ac4 Ac 0.582 0.918 0.250
Ac5 Ac 0.750 0.418 0.082
Ac6 Ac 0.918 0.250 0.582
Rh1 Rh 0.168 0.168 0.168
Rh2 Rh 0.332 0.332 0.332
Rh3 Rh 0.668 0.668 0.668
Rh4 Rh 0.832 0.832 0.832
```

Record 4
A geometry-optimized Ac3Rh structure. Source: Alexandria via LeMat-Bulk, functional PBE-GGA.

Theoretical density = 8.71 g/cm³
ΔE to the lowest computed polymorph = 0.049 eV per atom
ΔH_f (0 K) = -0.31 eV/atom
Final energy = -20.933 eV per cell

```
data_Ac3Rh
_symmetry_space_group_name_H-M 'P 1'
_symmetry_Int_Tables_number 1
_symmetry_space_group_name_Hall 'P 1'
_cell_length_a 6.769
_cell_length_b 6.769
_cell_length_c 6.769
_cell_angle_alpha 145.60
_cell_angle_beta 71.06
_cell_angle_gamma 119.96
loop_
_atom_site_label
_atom_site_type_symbol
_atom_site_fract_x
_atom_site_fract_y
_atom_site_fract_z
Ac1 Ac 0.000 0.000 0.000
Ac2 Ac 0.322 0.504 0.818
Ac3 Ac 0.686 0.504 0.182
Rh1 Rh 0.678 0.178 0.500
```

Record 5
A geometry-optimized Ac3Rh structure. Source: Alexandria via LeMat-Bulk, functional PBE-GGA.

Theoretical density = 9.42 g/cm³
ΔE to the lowest computed polymorph = 0.058 eV per atom
ΔH_f (0 K) = -0.30 eV/atom
Final energy = -83.586 eV per cell

```
data_Ac3Rh
_symmetry_space_group_name_H-M 'P 1'
_symmetry_Int_Tables_number 1
_symmetry_space_group_name_Hall 'P 1'
_cell_length_a 9.688
_cell_length_b 9.688
_cell_length_c 9.688
_cell_angle_alpha 96.84
_cell_angle_beta 96.84
_cell_angle_gamma 139.63
loop_
_atom_site_label
_atom_site_type_symbol
_atom_site_fract_x
_atom_site_fract_y
_atom_site_fract_z
Ac1 Ac 0.094 0.595 0.692
Ac2 Ac 0.109 0.250 0.859
Ac3 Ac 0.242 0.741 0.104
Ac4 Ac 0.259 0.362 0.500
Ac5 Ac 0.391 0.250 0.141
Ac6 Ac 0.405 0.098 0.500
Ac7 Ac 0.598 0.906 0.500
Ac8 Ac 0.638 0.138 0.896
Ac9 Ac 0.750 0.609 0.859
Ac10 Ac 0.750 0.891 0.141
Ac11 Ac 0.862 0.758 0.500
Ac12 Ac 0.902 0.402 0.308
Rh1 Rh 0.250 0.057 0.806
Rh2 Rh 0.251 0.444 0.194
Rh3 Rh 0.556 0.750 0.807
Rh4 Rh 0.943 0.749 0.193
```

Record 6
A geometry-optimized AcRh5 structure. Source: Alexandria via LeMat-Bulk, functional PBE-GGA.

Theoretical density = 11.86 g/cm³
ΔH_f (0 K) = -0.05 eV/atom
Final energy = -41.182 eV per cell

```
data_AcRh5
_symmetry_space_group_name_H-M 'P 1'
_symmetry_Int_Tables_number 1
_symmetry_space_group_name_Hall 'P 1'
_cell_length_a 6.569
_cell_length_b 6.569
_cell_length_c 4.069
_cell_angle_alpha 90.00
_cell_angle_beta 90.00
_cell_angle_gamma 143.76
loop_
_atom_site_label
_atom_site_type_symbol
_atom_site_fract_x
_atom_site_fract_y
_atom_site_fract_z
Ac1 Ac 0.000 0.000 0.000
Rh1 Rh 0.182 0.818 0.500
Rh2 Rh 0.321 0.679 0.000
Rh3 Rh 0.500 0.500 0.500
Rh4 Rh 0.679 0.321 0.000
Rh5 Rh 0.818 0.182 0.500
```

Record 7
A geometry-optimized Ac3Rh structure. Source: Alexandria via LeMat-Bulk, functional PBE-GGA.

Theoretical density = 8.41 g/cm³
ΔE to the lowest computed polymorph = 0.201 eV per atom
ΔH_f (0 K) = -0.16 eV/atom
Final energy = -20.326 eV per cell

```
data_Ac3Rh
_symmetry_space_group_name_H-M 'P 1'
_symmetry_Int_Tables_number 1
_symmetry_space_group_name_Hall 'P 1'
_cell_length_a 3.931
_cell_length_b 3.937
_cell_length_c 10.005
_cell_angle_alpha 90.00
_cell_angle_beta 90.00
_cell_angle_gamma 90.00
loop_
_atom_site_label
_atom_site_type_symbol
_atom_site_fract_x
_atom_site_fract_y
_atom_site_fract_z
Ac1 Ac 0.000 0.000 0.000
Ac2 Ac 0.000 0.500 0.350
Ac3 Ac 0.500 0.500 0.704
Rh1 Rh 0.500 0.000 0.222
```

Record 8
A geometry-optimized Ac3Rh structure. Source: Alexandria via LeMat-Bulk, functional PBE-GGA.

Theoretical density = 8.07 g/cm³
ΔE to the lowest computed polymorph = 0.037 eV per atom
ΔH_f (0 K) = -0.33 eV/atom
Final energy = -83.924 eV per cell

```
data_Ac3Rh
_symmetry_space_group_name_H-M 'P 1'
_symmetry_Int_Tables_number 1
_symmetry_space_group_name_Hall 'P 1'
_cell_length_a 7.882
_cell_length_b 11.401
_cell_length_c 7.183
_cell_angle_alpha 90.00
_cell_angle_beta 90.00
_cell_angle_gamma 90.00
loop_
_atom_site_label
_atom_site_type_symbol
_atom_site_fract_x
_atom_site_fract_y
_atom_site_fract_z
Ac1 Ac 0.066 0.250 0.139
Ac2 Ac 0.178 0.078 0.658
Ac3 Ac 0.178 0.422 0.658
Ac4 Ac 0.322 0.578 0.158
Ac5 Ac 0.322 0.922 0.158
Ac6 Ac 0.434 0.750 0.639
Ac7 Ac 0.566 0.250 0.361
Ac8 Ac 0.678 0.078 0.842
Ac9 Ac 0.678 0.422 0.842
Ac10 Ac 0.822 0.578 0.342
Ac11 Ac 0.822 0.922 0.342
Ac12 Ac 0.934 0.750 0.861
Rh1 Rh 0.000 0.000 0.000
Rh2 Rh 0.000 0.500 0.000
Rh3 Rh 0.500 0.000 0.500
Rh4 Rh 0.500 0.500 0.500
```